First-principles (PBE) data for crystalline AcNpIn2O8 at its relaxed geometry, as listed in the Alexandria database. Values from VASP.

space group = Cmmm (65)
ΔE_f (raw) = -2229 meV/atom
theoretical density = 7.432 g cm⁻³

```
&SYSTEM
  ibrav = 0, nat = 12, ntyp = 4
/
ATOMIC_SPECIES
Ac 227.00 Ac.upf
Np 237.00 Np.upf
In 114.82 In.upf
O 16.00 O.upf
ATOMIC_POSITIONS angstrom
Ac 0.000 0.000 0.000
Np 0.000 0.000 3.580
In 3.559 0.000 1.823
In 3.559 0.000 5.337
O 1.358 0.000 2.098
O 1.358 0.000 5.062
O 3.559 1.475 3.580
O 3.559 1.254 0.000
O 3.559 -1.254 0.000
O 3.559 -1.475 3.580
O 5.759 0.000 2.098
O 5.759 0.000 5.062
CELL_PARAMETERS angstrom
3.559 -3.603 0.000
3.559 3.603 0.000
0.000 0.000 7.160
```